## HgP2Rh (PBE-GGA)

Data for crystalline HgP2Rh at its relaxed geometry.

Geometry as CIF:
```
data_HgP2Rh
_cell_length_a 5.637
_cell_length_b 5.637
_cell_length_c 6.796
_cell_angle_alpha 65.49
_cell_angle_beta 65.49
_cell_angle_gamma 90.00
_space_group_name_H-M_alt 'P 1'
_space_group_IT_number 1
loop_
_space_group_symop_operation_xyz
'x,y,z'
loop_
_atom_site_label
_atom_site_type_symbol
_atom_site_fract_x
_atom_site_fract_y
_atom_site_fract_z
Hg1 Hg 0.000 0.000 0.000
P1 P 0.375 0.431 0.750
Rh1 Rh 0.500 0.500 0.000
P2 P 0.181 0.625 0.250
Rh2 Rh 0.250 0.750 0.500
P3 P 0.875 0.819 0.750
P4 P 0.569 0.125 0.250
Hg2 Hg 0.750 0.250 0.500
```

Values from the calculation:
Crystal system   tetragonal
Energy relative to the elements   0.02 eV/atom